No. 1
Entry from Alexandria: crystalline Na2HOs at its relaxed geometry (PBE-GGA).

Electronic total energy ... -2.75 eV per atom
Space group ... Fm-3m, No. 225

The structure in POSCAR format:
```
Na2HOs
1.0
0.000 3.473 3.473
3.473 0.000 3.473
3.473 3.473 0.000
Na Os H
2 1 1
Direct
0.250 0.250 0.250 Na
0.750 0.750 0.750 Na
0.500 0.500 0.500 Os
0.000 0.000 0.000 H
```

No. 2
Entry from Alexandria: crystalline Na3H7Os at its relaxed geometry (PBE-GGA).

Electronic total energy ... -3.78 eV per atom
Space group ... Cm, No. 8

The structure in POSCAR format:
```
Na3H7Os
1.0
-4.670 2.372 1.589
-2.794 -2.277 -4.119
-4.489 -2.878 0.869
Na H Os
3 7 1
Direct
0.711 0.210 0.535 Na
0.445 0.445 0.065 Na
0.210 0.711 0.535 Na
0.184 0.184 0.023 H
0.692 0.115 0.145 H
0.028 0.280 0.649 H
0.115 0.692 0.145 H
0.738 0.738 0.472 H
0.280 0.028 0.649 H
0.752 0.752 0.013 H
0.969 0.969 0.017 Os
```

No. 3
Entry from Alexandria: crystalline NaH2Os at its relaxed geometry (PBE-GGA).

Electronic total energy ... -4.41 eV per atom
Space group ... I-42d, No. 122

The structure in POSCAR format:
```
NaH2Os
1.0
5.030 0.000 0.000
0.000 5.030 0.000
2.515 2.515 3.309
Na Os H
2 2 4
Direct
0.500 0.500 0.000 Na
0.250 0.750 0.500 Na
0.000 0.000 0.000 Os
0.750 0.250 0.500 Os
0.695 0.125 0.250 H
0.055 0.625 0.250 H
0.375 0.305 0.750 H
0.875 0.945 0.750 H
```